No. 1
First-principles (PBE-GGA) data for Pm2TiCrN5 after structural relaxation, as listed in Alexandria.

Unit cell a=3.2647 b=13.9247 c=10.1447 alpha=90.00 beta=90.00 gamma=90.00
Last column: nearest neighbours and their distance in Å.
Space group Cmc2_1 (No. 36)
Inequivalent atoms, fractional coordinates:
Pm (0.0000, 0.1191, 0.0000) (multiplicity 4)  6 N 2.46-2.73
Pm (0.0000, 0.1364, 0.6427) (multiplicity 4)  7 N 2.50-2.67
Ti (0.0000, 0.2084, 0.3499) (multiplicity 4)  3 N 1.87-2.09
Cr (0.0000, 0.4468, 0.7579) (multiplicity 4)  4 N 1.72-1.84
N (0.0000, 0.0377, 0.3386) (multiplicity 4)  2 Cr 1.84
N (0.0000, 0.2955, 0.9779) (multiplicity 4)  2 Ti 2.09
N (0.0000, 0.3233, 0.7037) (multiplicity 4)  1 Cr 1.81
N (0.0000, 0.3416, 0.3272) (multiplicity 4)  1 Ti 1.87
N (0.0000, 0.4975, 0.1063) (multiplicity 4)  1 Cr 1.72

Computed properties:
Fermi-level density of states: 0.309 states/eV/atom
E_tot: -315.81 eV for the cell shown
raw formation energy: -10.3 eV per formula unit
magnetization: 0.93 μB per formula unit

No. 2
First-principles (PBE-GGA) data for ZnRu2 after structural relaxation, as listed in Alexandria.

Unit cell a=9.9398 b=2.7647 c=6.3167 alpha=90.00 beta=103.99 gamma=90.00
Last column: nearest neighbours and their distance in Å.
Space group Cm (No. 8)
Inequivalent atoms, fractional coordinates:
Zn (0.0000, 0.0000, 0.0000) (multiplicity 2)  8 Ru 2.69-2.77, 4 Zn 2.71-2.76
Zn (0.1610, 0.5000, 0.3375) (multiplicity 2)  8 Ru 2.60-2.76, 4 Zn 2.71-2.76
Ru (0.1175, 0.5000, 0.7272) (multiplicity 2)  3 Zn 2.60-2.69, 9 Ru 2.64-2.76
Ru (0.2817, 0.0000, 0.0659) (multiplicity 2)  7 Ru 2.64-2.76, 5 Zn 2.69-2.73
Ru (0.3333, 0.0000, 0.6752) (multiplicity 2)  8 Ru 2.60-2.76, 4 Zn 2.69-2.76
Ru (0.4367, 0.5000, 0.4033) (multiplicity 2)  8 Ru 2.60-2.76, 4 Zn 2.67-2.77

Computed properties:
energy relative to the elements: 0.103 eV per atom
Fermi-level density of states: 1.159 states/eV/atom
E_tot: -78.07 eV for the cell shown
magnetization: 0.00 μB per formula unit

No. 3
First-principles (PBE-GGA) data for YAlSe2 after structural relaxation, as listed in Alexandria.

Unit cell a=4.0795 b=4.0795 c=25.4201 alpha=90.00 beta=90.00 gamma=120.00
Last column: nearest neighbours and their distance in Å.
Space group R-3m (No. 166, hexagonal axes)
Inequivalent atoms, fractional coordinates:
Y (0.0000, 0.0000, 0.0000) (multiplicity 3)  6 Se 2.85
Al (0.0000, 0.0000, 0.5000) (multiplicity 3)  2 Se 2.62
Se (0.0000, 0.0000, 0.3968) (multiplicity 6)  1 Al 2.62, 3 Y 2.85

Computed properties:
Fermi-level density of states: 0.001 states/eV/atom
E_tot: -62.88 eV for the cell shown
raw formation energy: -3.8 eV per formula unit
magnetization: 0.00 μB per formula unit

No. 4
First-principles (PBE-GGA) data for AlVAg2P after structural relaxation, as listed in Alexandria.

Unit cell a=4.6662 b=4.6662 c=4.6984 alpha=90.00 beta=90.00 gamma=90.00
Last column: nearest neighbours and their distance in Å.
Space group P4/mmm (No. 123)
Inequivalent atoms, fractional coordinates:
Al (0.0000, 0.0000, 0.0000) (multiplicity 1)  2 P 2.35
V (0.5000, 0.5000, 0.0000) (multiplicity 1)  4 Al 3.30, 8 Ag 3.31
Ag (0.0000, 0.5000, 0.5000) (multiplicity 2)  2 P 2.33
P (0.0000, 0.0000, 0.5000) (multiplicity 1)  4 Ag 2.33, 2 Al 2.35

Computed properties:
energy relative to the elements: 0.966 eV per atom
Fermi-level density of states: 1.395 states/eV/atom
E_tot: -19.15 eV for the cell shown
magnetization: 0.29 μB per formula unit

No. 5
First-principles (PBE-GGA) data for Tb2PmSm4 after structural relaxation, as listed in Alexandria.

Unit cell a=3.5695 b=5.7931 c=23.0021 alpha=90.00 beta=90.00 gamma=90.00
Last column: nearest neighbours and their distance in Å.
Space group Immm (No. 71)
Inequivalent atoms, fractional coordinates:
Tb (0.0000, 0.0000, 0.2252) (multiplicity 4)  6 Sm 3.53-3.65, 6 Tb 3.57-3.59
Pm (0.0000, 0.0000, 0.5000) (multiplicity 2)  8 Sm 3.52-3.63, 2 Pm 3.57
Sm (0.0000, 0.5000, 0.1374) (multiplicity 4)  4 Tb 3.53-3.63, 6 Sm 3.57-3.60, 2 Pm 3.63
Sm (0.0000, 0.5000, 0.4132) (multiplicity 4)  2 Pm 3.52, 6 Sm 3.57-3.60, 2 Tb 3.65

Computed properties:
energy relative to the elements: 0.089 eV per atom
Fermi-level density of states: 1.554 states/eV/atom
offset from the most stable computed form: 0.0 meV/atom
E_tot: -64.53 eV for the cell shown
magnetization: 0.00 μB per formula unit

No. 6
First-principles (PBE-GGA) data for LiScZn after structural relaxation, as listed in Alexandria.

Unit cell a=6.3695 b=6.3695 c=6.3695 alpha=90.00 beta=90.00 gamma=90.00
Last column: nearest neighbours and their distance in Å.
Space group F-43m (No. 216)
Inequivalent atoms, fractional coordinates:
Li (0.0000, 0.0000, 0.0000) (multiplicity 4)  4 Zn 2.76
Sc (0.0000, 0.0000, 0.5000) (multiplicity 4)  4 Zn 2.76
Zn (0.2500, 0.2500, 0.2500) (multiplicity 4)  4 Li 2.76, 4 Sc 2.76

Computed properties:
energy relative to the elements: 0.152 eV per atom
Fermi-level density of states: 1.464 states/eV/atom
offset from the most stable computed form: 311.5 meV/atom
E_tot: -36.26 eV for the cell shown
magnetization: 0.00 μB per formula unit

No. 7
First-principles (PBE-GGA) data for Tm2Th2ZnGa4 after structural relaxation, as listed in Alexandria.

Unit cell a=6.9108 b=6.9108 c=8.8222 alpha=90.00 beta=90.00 gamma=90.00
Last column: nearest neighbours and their distance in Å.
Space group I4/mmm (No. 139)
Inequivalent atoms, fractional coordinates:
Tm (0.0000, 0.0000, 0.1899) (multiplicity 4)  1 Zn 2.74, 4 Ga 2.97
Th (0.0000, 0.5000, 0.2500) (multiplicity 4)  8 Ga 3.29, 4 Tm 3.50
Zn (0.0000, 0.0000, 0.5000) (multiplicity 2)  4 Ga 2.43
Ga (0.2485, 0.2485, 0.5000) (multiplicity 8)  1 Zn 2.43

Computed properties:
energy relative to the elements: -0.254 eV per atom
Fermi-level density of states: 0.732 states/eV/atom
E_tot: -78.91 eV for the cell shown
magnetization: 0.00 μB per formula unit

No. 8
First-principles (PBE-GGA) data for Ta3BeRe after structural relaxation, as listed in Alexandria.

Unit cell a=4.8281 b=4.8281 c=4.8281 alpha=90.00 beta=90.00 gamma=90.00
Last column: nearest neighbours and their distance in Å.
Space group Pm-3m (No. 221)
Inequivalent atoms, fractional coordinates:
Ta (0.0000, 0.0000, 0.5000) (multiplicity 3)  2 Re 2.41
Be (0.5000, 0.5000, 0.5000) (multiplicity 1)  12 Ta 3.41
Re (0.0000, 0.0000, 0.0000) (multiplicity 1)  6 Ta 2.41

Computed properties:
energy relative to the elements: 1.605 eV per atom
Fermi-level density of states: 0.688 states/eV/atom
E_tot: -43.71 eV for the cell shown
magnetization: 0.00 μB per formula unit

No. 9
First-principles (PBE-GGA) data for CoTcIr2 after structural relaxation, as listed in Alexandria.

Unit cell a=3.8092 b=3.8092 c=3.7393 alpha=90.00 beta=90.00 gamma=90.00
Last column: nearest neighbours and their distance in Å.
Space group P4/mmm (No. 123)
Inequivalent atoms, fractional coordinates:
Co (0.0000, 0.0000, 0.0000) (multiplicity 1)  8 Ir 2.67, 4 Tc 2.69
Tc (0.5000, 0.5000, 0.0000) (multiplicity 1)  8 Ir 2.67, 4 Co 2.69
Ir (0.0000, 0.5000, 0.5000) (multiplicity 2)  4 Co 2.67, 4 Tc 2.67, 4 Ir 2.69

Computed properties:
energy relative to the elements: -0.025 eV per atom
Fermi-level density of states: 1.282 states/eV/atom
offset from the most stable computed form: 62.3 meV/atom
E_tot: -35.29 eV for the cell shown
magnetization: 0.00 μB per formula unit

No. 10
First-principles (PBE-GGA) data for Mg2Nb2WN6 after structural relaxation, as listed in Alexandria.

Unit cell a=5.3016 b=9.1038 c=5.4939 alpha=90.00 beta=108.65 gamma=90.00
Last column: nearest neighbours and their distance in Å.
Space group C2/m (No. 12)
Inequivalent atoms, fractional coordinates:
Mg (0.0000, 0.1690, 0.0000) (multiplicity 4)  6 N 2.22-2.25
Nb (0.0000, 0.3374, 0.5000) (multiplicity 4)  6 N 2.13-2.17
W (0.0000, 0.0000, 0.5000) (multiplicity 2)  6 N 2.06-2.11
N (0.2346, 0.1671, 0.7302) (multiplicity 8)  1 W 2.11, 2 Nb 2.13-2.17, 2 Mg 2.22-2.25
N (0.2371, 0.0000, 0.2665) (multiplicity 4)  1 W 2.06, 2 Nb 2.15, 2 Mg 2.22

Computed properties:
Fermi-level density of states: 0.351 states/eV/atom
E_tot: -188.23 eV for the cell shown
raw formation energy: -7.9 eV per formula unit
magnetization: 0.00 μB per formula unit

No. 11
First-principles (PBE-GGA) data for KGa5Au3 after structural relaxation, as listed in Alexandria.

Unit cell a=4.2737 b=13.3399 c=13.8526 alpha=90.00 beta=90.00 gamma=90.00
Last column: nearest neighbours and their distance in Å.
Space group Cmcm (No. 63)
Inequivalent atoms, fractional coordinates:
K (0.0000, 0.1694, 0.2500) (multiplicity 4)  7 Au 3.63-3.70, 10 Ga 3.76-4.05
Ga (0.0000, 0.0000, 0.0000) (multiplicity 4)  6 Ga 2.72-3.04, 4 Au 2.75
Ga (0.0000, 0.1895, 0.5725) (multiplicity 8)  4 Au 2.55-2.82, 1 Ga 2.72
Ga (0.0000, 0.4548, 0.1499) (multiplicity 8)  4 Au 2.67-2.86, 1 Ga 2.77
Au (0.0000, 0.1081, 0.7500) (multiplicity 4)  6 Ga 2.68-2.69
Au (0.0000, 0.3783, 0.5432) (multiplicity 8)  6 Ga 2.55-2.82

Computed properties:
energy relative to the elements: -0.238 eV per atom
Fermi-level density of states: 0.386 states/eV/atom
E_tot: -112.82 eV for the cell shown
magnetization: 0.00 μB per formula unit